[1]
Density functional theory data (PBE) for an optimized crystal structure of BeInSi4.

Unit cell a=5.176 b=5.176 c=5.176 alpha=60.00 beta=60.00 gamma=60.00
Element x y z (fractional)
Be: 0.750 0.750 0.750
In: 0.000 0.000 0.000
Si: 0.377 0.870 0.377
Si: 0.870 0.377 0.377
Si: 0.377 0.377 0.870
Si: 0.377 0.377 0.377

Summary:
The formation energy without anion corrections is 0.692 eV/atom. As for the space group: F-43m.

[2]
Density functional theory data (PBE) for an optimized crystal structure of MgSi4Ru.

Unit cell a=5.006 b=5.006 c=5.006 alpha=60.00 beta=60.00 gamma=60.00
Element x y z (fractional)
Mg: 0.250 0.250 0.250
Si: 0.626 0.626 0.123
Si: 0.626 0.123 0.626
Si: 0.626 0.626 0.626
Si: 0.123 0.626 0.626
Ru: 0.000 0.000 0.000

Summary:
The formation energy without anion corrections is 0.340 eV/atom. As for the space group: F-43m.

[3]
Density functional theory data (PBE) for an optimized crystal structure of Ca4TlP.

Unit cell a=6.497 b=6.497 c=6.497 alpha=60.00 beta=60.00 gamma=60.00
Element x y z (fractional)
Ca: 0.873 0.376 0.376
Ca: 0.376 0.376 0.873
Ca: 0.376 0.873 0.376
Ca: 0.376 0.376 0.376
Tl: 0.000 0.000 0.000
P: 0.750 0.750 0.750

Summary:
As for the energy relative to the lowest polymorph listed for this composition: 522 kJ/mol of formula units. As for the formation energy from the elements: 333 meV per atom. As for the space group: F-43m.

no.,total magnetization (μB/atom),electronic total energy (eV for the cell shown)
1,0.000,-24.0
2,0.000,-30.5
3,0.000,-13.8